Material: NdSm4TmS8
Method: DFT, GGA-PBE
State: relaxed

Unit cell a=8.205 b=8.205 c=8.214 alpha=60.04 beta=60.04 gamma=60.00
Atoms (fractional coordinates):
S  0.249  0.249  0.743
Sm  0.001  0.496  0.502
S  0.758  0.758  0.725
Sm  0.496  0.001  0.502
S  0.760  0.249  0.743
S  0.756  0.756  0.261
S  0.227  0.756  0.261
S  0.246  0.246  0.262
Tm  0.375  0.375  0.876
Sm  0.001  0.001  0.502
Nd  0.001  0.001  0.996
Sm  0.625  0.625  0.124
S  0.249  0.760  0.743
S  0.756  0.227  0.261

symmetry = R3m (160)
E_form (uncorrected) = -1.91 eV per atom
total energy = -6.281 eV per atom
total moment = 0.003 μB/cell